# Li10Ti2Fe3Ni3O16 PBE+U optimized geometry
# Calculated density: 4.22 g cm⁻³
# E: -5.904 eV per atom
# Fermi-level density of states: 0.00 states/eV/cell
# V: 300.7 Å³/cell
data_Li10Ti2Fe3Ni3O16
_chemical_formula_sum 'Li10 Ti2 Fe3 Ni3 O16'
_cell_length_a 5.934
_cell_length_b 5.944
_cell_length_c 9.784
_cell_angle_alpha 89.80
_cell_angle_beta 89.82
_cell_angle_gamma 60.61
_symmetry_space_group_name_H-M 'P 1'
_symmetry_Int_Tables_number 1
loop_
_symmetry_equiv_pos_as_xyz
'x,y,z'
loop_
_atom_site_label
_atom_site_fract_x
_atom_site_fract_y
_atom_site_fract_z
Li1 0.000 0.000 0.000
Li2 0.006 0.424 0.003
Li3 0.139 0.153 0.791
Li4 0.203 0.605 0.512
Li5 0.404 0.014 0.009
Li6 0.472 0.484 0.293
Li7 0.605 0.208 0.511
Li8 0.618 0.617 0.512
Li9 0.805 0.807 0.071
Li10 0.815 0.811 0.577
Ti1 0.159 0.123 0.531
Ti2 0.484 0.464 0.028
Fe1 0.156 0.637 0.772
Fe2 0.976 0.975 0.273
Fe3 0.981 0.466 0.275
Ni1 0.471 0.976 0.272
Ni2 0.646 0.147 0.773
Ni3 0.647 0.641 0.774
O1 0.133 0.147 0.155
O2 0.150 0.621 0.142
O3 0.298 0.302 0.398
O4 0.305 0.828 0.410
O5 0.316 0.326 0.896
O6 0.317 0.785 0.898
O7 0.469 0.483 0.660
O8 0.470 0.988 0.639
O9 0.624 0.151 0.133
O10 0.637 0.631 0.146
O11 0.788 0.323 0.905
O12 0.813 0.797 0.382
O13 0.831 0.307 0.408
O14 0.835 0.800 0.879
O15 0.994 0.975 0.647
O16 0.997 0.473 0.649